Entry from Alexandria via LeMat-Bulk: an optimized crystal structure of ScIr2Se (GGA-PBE).

Values from the calculation:
**SG**: C2/m, No. 12
**Fermi-level density of states**: 1.85 states/eV per cell
**V**: 66 Å³/cell
**DFT total energy**: -28.69 eV/cell

Cell: 5.4626 5.4626 3.0149 Å, 105.58 105.58 119.67°
Last column: nearest neighbours and their distance in Å.
Sites, in units of the cell vectors:
Sc 0.0000 0.0000 0.0000  4 Ir 2.74, 4 Se 2.74-2.79, 2 Sc 3.01
Ir 0.0000 0.5000 0.5000  2 Se 2.74, 2 Sc 2.74, 6 Ir 2.74-3.01
Ir 0.5000 0.0000 0.5000  2 Sc 2.74, 2 Se 2.74, 6 Ir 2.74-3.01
Se 0.5000 0.5000 0.0000  4 Ir 2.74, 4 Sc 2.74-2.79, 2 Se 3.01

---

Entry from Alexandria via LeMat-Bulk: an optimized crystal structure of ScIr2Se (GGA-PBE).

Values from the calculation:
**SG**: Cmmm, No. 65
**Fermi-level density of states**: 1.80 states/eV per cell
**V**: 65 Å³/cell
**DFT total energy**: -28.63 eV/cell

Cell: 4.6436 4.6436 3.1122 Å, 90.00 90.00 102.74°
Last column: nearest neighbours and their distance in Å.
Sites, in units of the cell vectors:
Sc 0.0000 0.0000 0.0000  8 Ir 2.80, 2 Se 2.90, 2 Sc 3.11
Ir 0.0000 0.5000 0.5000  4 Sc 2.80, 4 Se 2.80, 4 Ir 2.90-3.11
Ir 0.5000 0.0000 0.5000  4 Sc 2.80, 4 Se 2.80, 4 Ir 2.90-3.11
Se 0.5000 0.5000 0.0000  8 Ir 2.80, 2 Sc 2.90, 2 Se 3.11

---

Entry from Alexandria via LeMat-Bulk: an optimized crystal structure of Sc2IrSe (GGA-PBE).

Values from the calculation:
**SG**: R-3m, No. 166
**Fermi-level density of states**: 2.70 states/eV per cell
**V**: 84 Å³/cell
**DFT total energy**: -26.33 eV/cell

Cell: 8.6357 8.6357 8.6357 Å, 22.65 22.65 22.65°
Last column: nearest neighbours and their distance in Å.
Sites, in units of the cell vectors:
Sc 0.0958 0.0958 0.0958  1 Ir 2.42, 3 Se 2.65
Sc 0.9042 0.9042 0.9042  1 Ir 2.42, 3 Se 2.65
Ir 0.0000 0.0000 0.0000  2 Sc 2.42
Se 0.5000 0.5000 0.5000  6 Sc 2.65

---

Entry from Alexandria via LeMat-Bulk: an optimized crystal structure of ScIr2Se (GGA-PBE).

Values from the calculation:
**SG**: P4/mmm, No. 123
**Fermi-level density of states**: 1.46 states/eV per cell
**V**: 66 Å³/cell
**DFT total energy**: -28.55 eV/cell

Cell: 3.0231 3.0231 7.2010 Å, 90.00 90.00 90.00°
Last column: nearest neighbours and their distance in Å.
Sites, in units of the cell vectors:
Sc 0.0000 0.0000 0.0000  8 Ir 2.87, 4 Sc 3.02
Ir 0.5000 0.5000 0.2657  4 Se 2.72, 4 Sc 2.87, 4 Ir 3.02
Ir 0.5000 0.5000 0.7343  4 Se 2.72, 4 Sc 2.87, 4 Ir 3.02
Se 0.0000 0.0000 0.5000  8 Ir 2.72, 4 Se 3.02

---

Entry from Alexandria via LeMat-Bulk: an optimized crystal structure of ScIrSe3 (GGA-PBE).

Values from the calculation:
**SG**: Pm-3m, No. 221
**Energy relative to the lowest polymorph listed for this composition**: 553 meV/atom
**Fermi-level density of states**: 6.07 states/eV per cell
**V**: 128 Å³/cell
**DFT total energy**: -22.79 eV/cell

Cell: 5.0333 5.0333 5.0333 Å, 90.00 90.00 90.00°
Last column: nearest neighbours and their distance in Å.
Sites, in units of the cell vectors:
Sc 0.0000 0.0000 0.0000  6 Se 2.52
Ir 0.5000 0.5000 0.5000  12 Se 3.56
Se 0.0000 0.0000 0.5000  2 Sc 2.52
Se 0.0000 0.5000 0.0000  2 Sc 2.52
Se 0.5000 0.0000 0.0000  2 Sc 2.52

---

Entry from Alexandria via LeMat-Bulk: an optimized crystal structure of Sc2IrSe (GGA-PBE).

Values from the calculation:
**SG**: R-3m, No. 166
**Fermi-level density of states**: 6.91 states/eV per cell
**V**: 104 Å³/cell
**DFT total energy**: -27.52 eV/cell

Cell: 8.0718 8.0718 8.0718 Å, 28.24 28.24 28.24°
Last column: nearest neighbours and their distance in Å.
Sites, in units of the cell vectors:
Sc 0.1083 0.1083 0.1083  1 Se 2.52, 3 Ir 2.65
Sc 0.8917 0.8917 0.8917  1 Se 2.52, 3 Ir 2.65
Ir 0.5000 0.5000 0.5000  6 Sc 2.65
Se 0.0000 0.0000 0.0000  2 Sc 2.52

---

Entry from Alexandria via LeMat-Bulk: an optimized crystal structure of ScIr2Se (GGA-PBE).

Values from the calculation:
**SG**: I-42d, No. 122
**Fermi-level density of states**: 9.05 states/eV per cell
**V**: 140 Å³/cell
**DFT total energy**: -56.90 eV/cell

Cell: 10.0736 10.0736 10.0736 Å, 158.23 158.23 30.97°
Last column: nearest neighbours and their distance in Å.
Sites, in units of the cell vectors:
Sc 0.0000 0.0000 0.0000  4 Se 2.69, 4 Ir 2.78
Sc 0.7500 0.2500 0.5000  4 Se 2.69, 4 Ir 2.78
Ir 0.1295 0.6250 0.0045  4 Ir 2.67-2.71, 2 Se 2.77, 2 Sc 2.78
Ir 0.3750 0.3795 0.5045  4 Ir 2.67-2.71, 2 Se 2.77, 2 Sc 2.78
Ir 0.6205 0.1250 0.9955  4 Ir 2.67-2.71, 2 Se 2.77, 2 Sc 2.78
Ir 0.8750 0.8705 0.4955  4 Ir 2.67-2.71, 2 Se 2.77, 2 Sc 2.78
Se 0.2500 0.7500 0.5000  4 Sc 2.69, 4 Ir 2.77
Se 0.5000 0.5000 0.0000  4 Sc 2.69, 4 Ir 2.77

---

Entry from Alexandria via LeMat-Bulk: an optimized crystal structure of Sc2IrSe (GGA-PBE).

Values from the calculation:
**SG**: P4/mmm, No. 123
**Fermi-level density of states**: 3.10 states/eV per cell
**V**: 74 Å³/cell
**DFT total energy**: -29.25 eV/cell

Cell: 3.3163 3.3163 6.7355 Å, 90.00 90.00 90.00°
Last column: nearest neighbours and their distance in Å.
Sites, in units of the cell vectors:
Sc 0.0000 0.0000 0.2341  4 Ir 2.83, 4 Se 2.95, 1 Sc 3.15
Sc 0.0000 0.0000 0.7659  4 Ir 2.83, 4 Se 2.95, 1 Sc 3.15
Ir 0.5000 0.5000 0.0000  8 Sc 2.83
Se 0.5000 0.5000 0.5000  8 Sc 2.95

---

Entry from Alexandria via LeMat-Bulk: an optimized crystal structure of ScIrSe (GGA-PBE).

Values from the calculation:
**SG**: Imm2, No. 44
**Fermi-level density of states**: 1.81 states/eV per cell
**V**: 55 Å³/cell
**DFT total energy**: -20.28 eV/cell

Cell: 5.0705 5.0705 5.0705 Å, 140.17 138.57 58.82°
Last column: nearest neighbours and their distance in Å.
Sites, in units of the cell vectors:
Sc 0.0000 0.0000 0.0000  4 Ir 2.76, 5 Se 2.84-3.06
Ir 0.3649 0.3649 0.0000  1 Se 2.55, 4 Sc 2.76
Se 0.6539 0.6539 0.0000  1 Ir 2.55, 4 Sc 2.84

---

Entry from Alexandria via LeMat-Bulk: an optimized crystal structure of Sc2IrSe (GGA-PBE).

Values from the calculation:
**SG**: F-43m, No. 216
**Fermi-level density of states**: 5.98 states/eV per cell
**V**: 72 Å³/cell
**DFT total energy**: -26.22 eV/cell

Cell: 4.6793 4.6793 4.6793 Å, 60.00 60.00 60.00°
Last column: nearest neighbours and their distance in Å.
Sites, in units of the cell vectors:
Sc 0.0000 0.0000 0.0000  4 Ir 2.87, 4 Sc 2.87
Sc 0.2500 0.2500 0.2500  4 Se 2.87, 4 Sc 2.87
Ir 0.7500 0.7500 0.7500  4 Se 2.87, 4 Sc 2.87
Se 0.5000 0.5000 0.5000  4 Sc 2.87, 4 Ir 2.87

---

Entry from Alexandria via LeMat-Bulk: an optimized crystal structure of ScIr2Se (GGA-PBE).

Values from the calculation:
**SG**: Pmmm, No. 47
**Fermi-level density of states**: 2.39 states/eV per cell
**V**: 65 Å³/cell
**DFT total energy**: -28.95 eV/cell

Cell: 2.9973 4.5968 4.7039 Å, 90.00 90.00 90.00°
Last column: nearest neighbours and their distance in Å.
Sites, in units of the cell vectors:
Sc 0.0000 0.0000 0.0000  4 Ir 2.74, 4 Se 2.79, 2 Sc 3.00
Ir 0.0000 0.5000 0.5000  4 Se 2.74, 6 Ir 2.79-3.00
Ir 0.5000 0.5000 0.0000  4 Sc 2.74, 6 Ir 2.79-3.00
Se 0.5000 0.0000 0.5000  4 Ir 2.74, 4 Sc 2.79, 2 Se 3.00

---

Entry from Alexandria via LeMat-Bulk: an optimized crystal structure of Sc2IrSe (GGA-PBE).

Values from the calculation:
**SG**: R3m, No. 160
**Fermi-level density of states**: 2.89 states/eV per cell
**V**: 90 Å³/cell
**DFT total energy**: -26.15 eV/cell

Cell: 9.1274 9.1274 9.1274 Å, 21.62 21.62 21.62°
Last column: nearest neighbours and their distance in Å.
Sites, in units of the cell vectors:
Sc 0.0000 0.0000 0.0000  3 Ir 2.59
Sc 0.2175 0.2175 0.2175  3 Se 2.58
Ir 0.7295 0.7295 0.7295  3 Sc 2.59
Se 0.4891 0.4891 0.4891  3 Sc 2.58

---

Entry from Alexandria via LeMat-Bulk: an optimized crystal structure of Sc4IrSe (GGA-PBE).

Values from the calculation:
**SG**: F-43m, No. 216
**Fermi-level density of states**: 8.26 states/eV per cell
**V**: 122 Å³/cell
**DFT total energy**: -36.34 eV/cell

Cell: 5.5664 5.5664 5.5664 Å, 60.00 60.00 60.00°
Last column: nearest neighbours and their distance in Å.
Sites, in units of the cell vectors:
Sc 0.3762 0.3762 0.3762  6 Sc 2.76-2.81
Sc 0.3762 0.3762 0.8713  6 Sc 2.76-2.81
Sc 0.3762 0.8713 0.3762  6 Sc 2.76-2.81
Sc 0.8713 0.3762 0.3762  6 Sc 2.76-2.81
Ir 0.7500 0.7500 0.7500  12 Sc 3.26, 4 Se 3.41
Se 0.0000 0.0000 0.0000  12 Sc 3.27, 4 Ir 3.41

---

Entry from Alexandria via LeMat-Bulk: an optimized crystal structure of ScIr2Se (GGA-PBE).

Values from the calculation:
**SG**: Pmmm, No. 47
**Fermi-level density of states**: 2.12 states/eV per cell
**V**: 66 Å³/cell
**DFT total energy**: -28.69 eV/cell

Cell: 3.0615 3.7171 5.7661 Å, 90.00 90.00 90.00°
Last column: nearest neighbours and their distance in Å.
Sites, in units of the cell vectors:
Sc 0.0000 0.0000 0.0000  8 Ir 2.81, 2 Se 2.88, 2 Sc 3.06
Ir 0.5000 0.5000 0.2518  4 Se 2.80, 4 Sc 2.81, 4 Ir 2.86-3.06
Ir 0.5000 0.5000 0.7482  4 Se 2.80, 4 Sc 2.81, 4 Ir 2.86-3.06
Se 0.0000 0.0000 0.5000  8 Ir 2.80, 2 Sc 2.88, 2 Se 3.06